# CoSbO, relaxed, DFT GGA+U
# - Crystal system: monoclinic
# - E: -59.777 eV for the cell shown
# - Volume: 14.21 Å³ per atom
data_CoSbO
_cell_length_a 5.644
_cell_length_b 5.515
_cell_length_c 5.633
_cell_angle_alpha 90.00
_cell_angle_beta 103.46
_cell_angle_gamma 90.00
_symmetry_space_group_name_H-M 'P 1 21/c 1'
_symmetry_Int_Tables_number 14
_symmetry_space_group_name_Hall '-P 2ybc'
loop_
_atom_site_label
_atom_site_type_symbol
_atom_site_fract_x
_atom_site_fract_y
_atom_site_fract_z
Co1 Co 0.209 0.022 0.221
Sb1 Sb 0.330 0.602 0.160
O1 O 0.134 0.111 0.849